Entry A
# LiMgCl PBE relaxed
# V (A^3/atom): 21.07
data_LiMgCl
_cell_length_a 3.5698
_cell_length_b 5.8533
_cell_length_c 12.1020
_cell_angle_alpha 90.00
_cell_angle_beta 90.00
_cell_angle_gamma 90.00
_symmetry_space_group_name_H-M 'F m m 2'
_symmetry_Int_Tables_number 42
_symmetry_space_group_name_Hall 'F 2 -2'
loop_
_atom_site_label
_atom_site_type_symbol
_atom_site_fract_x
_atom_site_fract_y
_atom_site_fract_z
Li1 Li 0.0000 0.0000 0.0000
Mg1 Mg 0.0000 0.0000 0.3033
Cl1 Cl 0.0000 0.0000 0.6313


Entry B
# LiMgCl PBE relaxed
# V (A^3/atom): 23.76
data_LiMgCl
_cell_length_a 13.2843
_cell_length_b 3.5227
_cell_length_c 6.0936
_cell_angle_alpha 90.00
_cell_angle_beta 90.00
_cell_angle_gamma 90.00
_symmetry_space_group_name_H-M 'A m m 2'
_symmetry_Int_Tables_number 38
_symmetry_space_group_name_Hall 'A 2 -2'
loop_
_atom_site_label
_atom_site_type_symbol
_atom_site_fract_x
_atom_site_fract_y
_atom_site_fract_z
Li1 Li 0.2151 0.0000 0.0000
Mg1 Mg 0.0000 0.0000 0.3429
Mg2 Mg 0.5000 0.0000 0.6668
Cl1 Cl 0.2954 0.0000 0.6663


Most favorable structure: entry B. The second most favorable one is 3.8 kJ/mol of atoms above it.


Entry A
# LiMgCl PBE relaxed
# V (A^3/atom): 21.14
data_LiMgCl
_cell_length_a 6.0884
_cell_length_b 3.5497
_cell_length_c 11.7361
_cell_angle_alpha 90.00
_cell_angle_beta 90.14
_cell_angle_gamma 90.00
_symmetry_space_group_name_H-M 'C 1 m 1'
_symmetry_Int_Tables_number 8
_symmetry_space_group_name_Hall 'C -2y'
loop_
_atom_site_label
_atom_site_type_symbol
_atom_site_fract_x
_atom_site_fract_y
_atom_site_fract_z
Li1 Li 0.0000 0.0000 0.0000
Li2 Li 0.1649 0.5000 0.2589
Mg1 Mg 0.1622 0.5000 0.6805
Mg2 Mg 0.4961 0.5000 0.4813
Cl1 Cl 0.1648 0.5000 0.8917
Cl2 Cl 0.3302 0.0000 0.1481


Entry B
# LiMgCl PBE relaxed
# V (A^3/atom): 22.08
data_LiMgCl
_cell_length_a 3.6375
_cell_length_b 7.1655
_cell_length_c 5.0828
_cell_angle_alpha 90.00
_cell_angle_beta 90.00
_cell_angle_gamma 90.00
_symmetry_space_group_name_H-M 'P m n 21'
_symmetry_Int_Tables_number 31
_symmetry_space_group_name_Hall 'P 2ac -2'
loop_
_atom_site_label
_atom_site_type_symbol
_atom_site_fract_x
_atom_site_fract_y
_atom_site_fract_z
Li1 Li 0.0000 0.1211 0.0000
Mg1 Mg 0.0000 0.4660 0.4741
Cl1 Cl 0.0000 0.1062 0.5009


Entry C
# LiMgCl PBE relaxed
# V (A^3/atom): 26.23
data_LiMgCl
_cell_length_a 3.3578
_cell_length_b 3.3578
_cell_length_c 13.9584
_cell_angle_alpha 90.00
_cell_angle_beta 90.00
_cell_angle_gamma 90.00
_symmetry_space_group_name_H-M 'I 4 m m'
_symmetry_Int_Tables_number 107
_symmetry_space_group_name_Hall 'I 4 -2'
loop_
_atom_site_label
_atom_site_type_symbol
_atom_site_fract_x
_atom_site_fract_y
_atom_site_fract_z
Li1 Li 0.0000 0.0000 0.0000
Mg1 Mg 0.0000 0.0000 0.3160
Cl1 Cl 0.0000 0.0000 0.5284


Most favorable structure: entry A. The second most favorable one is 5.7 kJ/mol of atoms above it.


Entry A
# LiMgCl PBE relaxed
# V (A^3/atom): 21.56
data_LiMgCl
_cell_length_a 4.8000
_cell_length_b 4.7982
_cell_length_c 11.2359
_cell_angle_alpha 90.00
_cell_angle_beta 90.18
_cell_angle_gamma 90.00
_symmetry_space_group_name_H-M 'C 1 m 1'
_symmetry_Int_Tables_number 8
_symmetry_space_group_name_Hall 'C -2y'
loop_
_atom_site_label
_atom_site_type_symbol
_atom_site_fract_x
_atom_site_fract_y
_atom_site_fract_z
Li1 Li 0.0000 0.0000 0.0000
Li2 Li 0.0009 0.5000 0.2834
Mg1 Mg 0.0156 0.0000 0.5789
Mg2 Mg 0.0163 0.5000 0.7553
Cl1 Cl 0.9997 0.5000 0.0671
Cl2 Cl 0.0019 0.0000 0.3381


Entry B
# LiMgCl PBE relaxed
# V (A^3/atom): 21.08
data_LiMgCl
_cell_length_a 3.5342
_cell_length_b 3.5356
_cell_length_c 11.6816
_cell_angle_alpha 89.87
_cell_angle_beta 89.91
_cell_angle_gamma 60.04
_symmetry_space_group_name_H-M 'P 1'
_symmetry_Int_Tables_number 1
_symmetry_space_group_name_Hall 'P 1'
loop_
_atom_site_label
_atom_site_type_symbol
_atom_site_fract_x
_atom_site_fract_y
_atom_site_fract_z
Li1 Li 0.0000 0.0000 0.0000
Li2 Li 0.3304 0.3354 0.2604
Mg1 Mg 0.3258 0.3314 0.6792
Mg2 Mg 0.6596 0.6704 0.4811
Cl1 Cl 0.3329 0.3345 0.8923
Cl2 Cl 0.6647 0.6685 0.1499


Entry C
# LiMgCl PBE relaxed
# V (A^3/atom): 26.99
data_LiMgCl
_cell_length_a 6.8672
_cell_length_b 6.8672
_cell_length_c 6.8672
_cell_angle_alpha 90.00
_cell_angle_beta 90.00
_cell_angle_gamma 90.00
_symmetry_space_group_name_H-M 'F -4 3 m'
_symmetry_Int_Tables_number 216
_symmetry_space_group_name_Hall 'F -4 2 3'
loop_
_atom_site_label
_atom_site_type_symbol
_atom_site_fract_x
_atom_site_fract_y
_atom_site_fract_z
Li1 Li 0.0000 0.0000 0.0000
Mg1 Mg 0.2500 0.2500 0.2500
Cl1 Cl 0.2500 0.2500 0.7500


Most favorable structure: entry B. The second most favorable one is 0.7 kJ/mol of atoms above it.


Entry A
# LiMg2Cl PBE relaxed
# V (A^3/atom): 25.38
data_LiMg2Cl
_cell_length_a 3.9898
_cell_length_b 3.9898
_cell_length_c 6.3782
_cell_angle_alpha 90.00
_cell_angle_beta 90.00
_cell_angle_gamma 90.00
_symmetry_space_group_name_H-M 'P 4/m m m'
_symmetry_Int_Tables_number 123
_symmetry_space_group_name_Hall '-P 4 2'
loop_
_atom_site_label
_atom_site_type_symbol
_atom_site_fract_x
_atom_site_fract_y
_atom_site_fract_z
Li1 Li 0.0000 0.0000 0.0000
Mg1 Mg 0.0000 0.5000 0.5000
Cl1 Cl 0.5000 0.5000 0.0000


Entry B
# LiMg2Cl PBE relaxed
# V (A^3/atom): 21.83
data_LiMg2Cl
_cell_length_a 3.5057
_cell_length_b 5.6450
_cell_length_c 8.8237
_cell_angle_alpha 90.00
_cell_angle_beta 90.00
_cell_angle_gamma 90.00
_symmetry_space_group_name_H-M 'C m m m'
_symmetry_Int_Tables_number 65
_symmetry_space_group_name_Hall '-C 2 2'
loop_
_atom_site_label
_atom_site_type_symbol
_atom_site_fract_x
_atom_site_fract_y
_atom_site_fract_z
Li1 Li 0.0000 0.0000 0.0000
Mg1 Mg 0.0000 0.5000 0.2652
Cl1 Cl 0.0000 0.0000 0.5000


Entry C
# LiMg2Cl PBE relaxed
# V (A^3/atom): 21.90
data_LiMg2Cl
_cell_length_a 5.7479
_cell_length_b 9.0031
_cell_length_c 3.3849
_cell_angle_alpha 90.00
_cell_angle_beta 90.00
_cell_angle_gamma 90.00
_symmetry_space_group_name_H-M 'C m m m'
_symmetry_Int_Tables_number 65
_symmetry_space_group_name_Hall '-C 2 2'
loop_
_atom_site_label
_atom_site_type_symbol
_atom_site_fract_x
_atom_site_fract_y
_atom_site_fract_z
Li1 Li 0.0000 0.0000 0.0000
Mg1 Mg 0.2500 0.2500 0.5000
Cl1 Cl 0.0000 0.5000 0.0000


Entry D
# LiMg2Cl PBE relaxed
# V (A^3/atom): 24.20
data_LiMg2Cl
_cell_length_a 8.1708
_cell_length_b 8.1708
_cell_length_c 5.7998
_cell_angle_alpha 90.00
_cell_angle_beta 90.00
_cell_angle_gamma 90.00
_symmetry_space_group_name_H-M 'I -4 2 d'
_symmetry_Int_Tables_number 122
_symmetry_space_group_name_Hall 'I -4 2bw'
loop_
_atom_site_label
_atom_site_type_symbol
_atom_site_fract_x
_atom_site_fract_y
_atom_site_fract_z
Li1 Li 0.0000 0.0000 0.0000
Mg1 Mg 0.2080 0.7500 0.6250
Cl1 Cl 0.0000 0.0000 0.5000


Most favorable structure: entry B. The second most favorable one is 6.3 kJ/mol of atoms above it.


Entry A
# LiMg2Cl PBE relaxed
# V (A^3/atom): 22.14
data_LiMg2Cl
_cell_length_a 3.3236
_cell_length_b 4.8362
_cell_length_c 11.0176
_cell_angle_alpha 90.00
_cell_angle_beta 90.00
_cell_angle_gamma 90.00
_symmetry_space_group_name_H-M 'I m m m'
_symmetry_Int_Tables_number 71
_symmetry_space_group_name_Hall '-I 2 2'
loop_
_atom_site_label
_atom_site_type_symbol
_atom_site_fract_x
_atom_site_fract_y
_atom_site_fract_z
Li1 Li 0.0000 0.0000 0.0000
Mg1 Mg 0.0000 0.5000 0.2179
Cl1 Cl 0.0000 0.0000 0.5000


Entry B
# LiMg2Cl PBE relaxed
# V (A^3/atom): 22.62
data_LiMg2Cl
_cell_length_a 5.2774
_cell_length_b 5.2774
_cell_length_c 3.2483
_cell_angle_alpha 90.00
_cell_angle_beta 90.00
_cell_angle_gamma 90.00
_symmetry_space_group_name_H-M 'P 4/m m m'
_symmetry_Int_Tables_number 123
_symmetry_space_group_name_Hall '-P 4 2'
loop_
_atom_site_label
_atom_site_type_symbol
_atom_site_fract_x
_atom_site_fract_y
_atom_site_fract_z
Li1 Li 0.0000 0.0000 0.0000
Mg1 Mg 0.0000 0.5000 0.5000
Cl1 Cl 0.5000 0.5000 0.0000


Entry C
# LiMg2Cl PBE relaxed
# V (A^3/atom): 21.51
data_LiMg2Cl
_cell_length_a 3.3837
_cell_length_b 3.3837
_cell_length_c 26.0337
_cell_angle_alpha 90.00
_cell_angle_beta 90.00
_cell_angle_gamma 120.00
_symmetry_space_group_name_H-M 'R -3 m'
_symmetry_Int_Tables_number 166
_symmetry_space_group_name_Hall '-R 3 2"'
loop_
_atom_site_label
_atom_site_type_symbol
_atom_site_fract_x
_atom_site_fract_y
_atom_site_fract_z
Li1 Li 0.0000 0.0000 0.0000
Mg1 Mg 0.0000 0.0000 0.2452
Cl1 Cl 0.0000 0.0000 0.5000


Entry D
# LiMg2Cl PBE relaxed
# V (A^3/atom): 22.06
data_LiMg2Cl
_cell_length_a 5.0091
_cell_length_b 3.3282
_cell_length_c 5.8000
_cell_angle_alpha 90.00
_cell_angle_beta 114.14
_cell_angle_gamma 90.00
_symmetry_space_group_name_H-M 'P 1 2/m 1'
_symmetry_Int_Tables_number 10
_symmetry_space_group_name_Hall '-P 2y'
loop_
_atom_site_label
_atom_site_type_symbol
_atom_site_fract_x
_atom_site_fract_y
_atom_site_fract_z
Li1 Li 0.0000 0.0000 0.0000
Mg1 Mg 0.0000 0.5000 0.5000
Mg2 Mg 0.5000 0.0000 0.5000
Cl1 Cl 0.5000 0.5000 0.0000


Most favorable structure: entry C. The second most favorable one is 2.7 kJ/mol of atoms above it.


Entry A
# Li3MgCl PBE relaxed
# V (A^3/atom): 30.94
data_Li3MgCl
_cell_length_a 5.3682
_cell_length_b 5.3682
_cell_length_c 5.3682
_cell_angle_alpha 90.00
_cell_angle_beta 90.00
_cell_angle_gamma 90.00
_symmetry_space_group_name_H-M 'P m -3 m'
_symmetry_Int_Tables_number 221
_symmetry_space_group_name_Hall '-P 4 2 3'
loop_
_atom_site_label
_atom_site_type_symbol
_atom_site_fract_x
_atom_site_fract_y
_atom_site_fract_z
Li1 Li 0.0000 0.0000 0.5000
Mg1 Mg 0.0000 0.0000 0.0000
Cl1 Cl 0.5000 0.5000 0.5000


Entry B
# Li3MgCl PBE relaxed
# V (A^3/atom): 21.66
data_Li3MgCl
_cell_length_a 4.7669
_cell_length_b 4.7669
_cell_length_c 4.7669
_cell_angle_alpha 90.00
_cell_angle_beta 90.00
_cell_angle_gamma 90.00
_symmetry_space_group_name_H-M 'P m -3 m'
_symmetry_Int_Tables_number 221
_symmetry_space_group_name_Hall '-P 4 2 3'
loop_
_atom_site_label
_atom_site_type_symbol
_atom_site_fract_x
_atom_site_fract_y
_atom_site_fract_z
Li1 Li 0.0000 0.0000 0.5000
Mg1 Mg 0.5000 0.5000 0.5000
Cl1 Cl 0.0000 0.0000 0.0000


Most favorable structure: entry B. The second most favorable one is 64.7 kJ/mol of atoms above it.


Entry A
# Li2MgCl PBE relaxed
# V (A^3/atom): 21.72
data_Li2MgCl
_cell_length_a 3.5338
_cell_length_b 5.6428
_cell_length_c 8.7158
_cell_angle_alpha 90.00
_cell_angle_beta 90.00
_cell_angle_gamma 90.00
_symmetry_space_group_name_H-M 'C m m 2'
_symmetry_Int_Tables_number 35
_symmetry_space_group_name_Hall 'C 2 -2'
loop_
_atom_site_label
_atom_site_type_symbol
_atom_site_fract_x
_atom_site_fract_y
_atom_site_fract_z
Li1 Li 0.0000 0.0000 0.0000
Li2 Li 0.0000 0.5000 0.3043
Mg1 Mg 0.0000 0.5000 0.7325
Cl1 Cl 0.0000 0.0000 0.4805


Entry B
# Li2MgCl PBE relaxed
# V (A^3/atom): 20.82
data_Li2MgCl
_cell_length_a 4.7867
_cell_length_b 4.7867
_cell_length_c 3.6345
_cell_angle_alpha 90.00
_cell_angle_beta 90.00
_cell_angle_gamma 90.00
_symmetry_space_group_name_H-M 'P 4/m m m'
_symmetry_Int_Tables_number 123
_symmetry_space_group_name_Hall '-P 4 2'
loop_
_atom_site_label
_atom_site_type_symbol
_atom_site_fract_x
_atom_site_fract_y
_atom_site_fract_z
Li1 Li 0.0000 0.5000 0.0000
Mg1 Mg 0.0000 0.0000 0.5000
Cl1 Cl 0.5000 0.5000 0.5000


Entry C
# Li2MgCl PBE relaxed
# V (A^3/atom): 21.94
data_Li2MgCl
_cell_length_a 4.2220
_cell_length_b 4.2220
_cell_length_c 9.8468
_cell_angle_alpha 90.00
_cell_angle_beta 90.00
_cell_angle_gamma 90.00
_symmetry_space_group_name_H-M 'I 4/m m m'
_symmetry_Int_Tables_number 139
_symmetry_space_group_name_Hall '-I 4 2'
loop_
_atom_site_label
_atom_site_type_symbol
_atom_site_fract_x
_atom_site_fract_y
_atom_site_fract_z
Li1 Li 0.0000 0.5000 0.2500
Mg1 Mg 0.0000 0.0000 0.0000
Cl1 Cl 0.0000 0.0000 0.5000


Entry D
# Li2MgCl PBE relaxed
# V (A^3/atom): 21.19
data_Li2MgCl
_cell_length_a 3.4602
_cell_length_b 5.7300
_cell_length_c 8.5498
_cell_angle_alpha 90.00
_cell_angle_beta 90.00
_cell_angle_gamma 90.00
_symmetry_space_group_name_H-M 'C m m m'
_symmetry_Int_Tables_number 65
_symmetry_space_group_name_Hall '-C 2 2'
loop_
_atom_site_label
_atom_site_type_symbol
_atom_site_fract_x
_atom_site_fract_y
_atom_site_fract_z
Li1 Li 0.0000 0.0000 0.1905
Mg1 Mg 0.0000 0.5000 0.5000
Cl1 Cl 0.0000 0.5000 0.0000


Most favorable structure: entry D. The second most favorable one is 14.2 kJ/mol of atoms above it.


Entry A
# Li2MgCl PBE relaxed
# V (A^3/atom): 23.82
data_Li2MgCl
_cell_length_a 3.2734
_cell_length_b 6.4142
_cell_length_c 9.0776
_cell_angle_alpha 90.00
_cell_angle_beta 90.00
_cell_angle_gamma 90.00
_symmetry_space_group_name_H-M 'I m m m'
_symmetry_Int_Tables_number 71
_symmetry_space_group_name_Hall '-I 2 2'
loop_
_atom_site_label
_atom_site_type_symbol
_atom_site_fract_x
_atom_site_fract_y
_atom_site_fract_z
Li1 Li 0.0000 0.0000 0.1894
Mg1 Mg 0.0000 0.5000 0.0000
Cl1 Cl 0.0000 0.5000 0.5000


Entry B
# Li2MgCl PBE relaxed
# V (A^3/atom): 22.05
data_Li2MgCl
_cell_length_a 3.3230
_cell_length_b 3.2835
_cell_length_c 8.1765
_cell_angle_alpha 90.00
_cell_angle_beta 98.66
_cell_angle_gamma 90.00
_symmetry_space_group_name_H-M 'P 1 2/m 1'
_symmetry_Int_Tables_number 10
_symmetry_space_group_name_Hall '-P 2y'
loop_
_atom_site_label
_atom_site_type_symbol
_atom_site_fract_x
_atom_site_fract_y
_atom_site_fract_z
Li1 Li 0.1150 0.0000 0.3003
Mg1 Mg 0.5000 0.5000 0.0000
Cl1 Cl 0.0000 0.5000 0.5000


Entry C
# Li2MgCl PBE relaxed
# V (A^3/atom): 24.19
data_Li2MgCl
_cell_length_a 7.2878
_cell_length_b 7.2878
_cell_length_c 7.2878
_cell_angle_alpha 90.00
_cell_angle_beta 90.00
_cell_angle_gamma 90.00
_symmetry_space_group_name_H-M 'F -4 3 m'
_symmetry_Int_Tables_number 216
_symmetry_space_group_name_Hall 'F -4 2 3'
loop_
_atom_site_label
_atom_site_type_symbol
_atom_site_fract_x
_atom_site_fract_y
_atom_site_fract_z
Li1 Li 0.0000 0.0000 0.0000
Li2 Li 0.2500 0.2500 0.2500
Mg1 Mg 0.0000 0.0000 0.5000
Cl1 Cl 0.2500 0.2500 0.7500


Entry D
# Li2MgCl PBE relaxed
# V (A^3/atom): 22.87
data_Li2MgCl
_cell_length_a 3.3007
_cell_length_b 3.2935
_cell_length_c 8.5702
_cell_angle_alpha 90.00
_cell_angle_beta 100.87
_cell_angle_gamma 90.00
_symmetry_space_group_name_H-M 'P 1 m 1'
_symmetry_Int_Tables_number 6
_symmetry_space_group_name_Hall 'P -2y'
loop_
_atom_site_label
_atom_site_type_symbol
_atom_site_fract_x
_atom_site_fract_y
_atom_site_fract_z
Li1 Li 0.0000 0.0000 0.0000
Li2 Li 0.3225 0.5000 0.6241
Mg1 Mg 0.7054 0.0000 0.3734
Cl1 Cl 0.4546 0.5000 0.9066


Most favorable structure: entry D. The second most favorable one is 1.1 kJ/mol of atoms above it.